1.
AcThRuN4 after structural relaxation, computed with PBE.

abc: 3.907 3.907 13.163
angles: 90.00 90.00 90.00
Space group I4mm (No. 107)
Inequivalent atoms, fractional coordinates:
Ac1 0.000 0.000 0.000 x2
Th1 0.000 0.000 0.709 x2
Ru1 0.000 0.000 0.347 x2
N1 0.000 0.000 0.187 x2
N2 0.000 0.000 0.536 x2
N3 0.000 0.500 0.344 x4

**Crystal system**: tetragonal

=====

2.
AcTh2RuN4 after structural relaxation, computed with PBE.

abc: 3.569 12.429 12.022
angles: 90.00 90.00 90.00
Space group Cmcm (No. 63)
Inequivalent atoms, fractional coordinates:
Ac1 0.000 0.108 0.250 x4
Th1 0.000 0.368 0.054 x8
Ru1 0.000 0.153 0.750 x4
N1 0.000 0.000 0.000 x4
N2 0.000 0.269 0.619 x8
N3 0.000 0.448 0.250 x4

**Crystal system**: orthorhombic

=====

3.
Ac2TiRu2N6 after structural relaxation, computed with PBE.

abc: 5.9672 5.9672 16.1816
angles: 90.00 90.00 120.00
Space group R-3m (No. 166, hexagonal axes)
Inequivalent atoms, fractional coordinates:
Ac1 0.0000 0.0000 0.2210 x6
Ti1 0.0000 0.0000 0.0000 x3
Ru1 0.0000 0.0000 0.4277 x6
N1 0.0218 0.5109 0.7454 x18

**Crystal system**: trigonal

=====

4.
Ac6Tl2RuN after structural relaxation, computed with PBE.

abc: 7.942 11.043 7.971
angles: 90.00 90.00 90.00
Space group Pmmn (No. 59, origin choice 2)
Inequivalent atoms, fractional coordinates:
Ac1 0.002 0.250 0.019 x4
Ac2 0.011 0.250 0.509 x4
Ac3 0.250 0.013 0.263 x4
Tl1 0.250 0.502 0.744 x4
Ru1 0.250 0.750 0.252 x2
N1 0.250 0.250 0.215 x2

**Crystal system**: orthorhombic

=====

5.
AcY2RuN4 after structural relaxation, computed with PBE.

abc: 3.523 11.946 11.741
angles: 90.00 90.00 90.00
Space group Cmcm (No. 63)
Inequivalent atoms, fractional coordinates:
Ac1 0.000 0.108 0.250 x4
Y1 0.000 0.369 0.043 x8
Ru1 0.000 0.154 0.750 x4
N1 0.000 0.000 0.000 x4
N2 0.000 0.265 0.623 x8
N3 0.000 0.428 0.250 x4

**Crystal system**: orthorhombic

=====

6.
Ac2ZnRuN after structural relaxation, computed with PBE.

abc: 6.793 4.221 8.925
angles: 90.00 110.77 90.00
Space group P2_1/m (No. 11)
Inequivalent atoms, fractional coordinates:
Ac1 0.218 0.250 0.379 x2
Ac2 0.223 0.250 0.973 x2
Zn1 0.306 0.750 0.699 x2
Ru1 0.489 0.750 0.255 x2
N1 0.171 0.750 0.173 x2

**Crystal system**: monoclinic

=====

7.
AcZr2RuN4 after structural relaxation, computed with PBE.

abc: 3.346 11.675 11.443
angles: 90.00 90.00 90.00
Space group Cmcm (No. 63)
Inequivalent atoms, fractional coordinates:
Ac1 0.000 0.105 0.250 x4
Zr1 0.000 0.368 0.049 x8
Ru1 0.000 0.158 0.750 x4
N1 0.000 0.000 0.000 x4
N2 0.000 0.267 0.608 x8
N3 0.000 0.439 0.250 x4

**Crystal system**: orthorhombic

=====

8.
Ac3S2N after structural relaxation, computed with PBE.

abc: 14.690 8.422 6.038
angles: 90.00 90.00 90.00
Space group Cmc2_1 (No. 36)
Inequivalent atoms, fractional coordinates:
Ac1 0.000 0.124 0.000 x4
Ac2 0.151 0.298 0.499 x8
S1 0.158 0.346 0.999 x8
N1 0.000 0.171 0.496 x4

**Energy relative to the lowest polymorph listed for this composition**: 0.107 eV/atom
**Crystal system**: orthorhombic

=====

9.
Ac3S2N after structural relaxation, computed with PBE.

abc: 4.212 4.212 17.678
angles: 90.00 90.00 90.00
Space group I4/mmm (No. 139)
Inequivalent atoms, fractional coordinates:
Ac1 0.000 0.000 0.000 x2
Ac2 0.000 0.000 0.351 x4
S1 0.000 0.000 0.170 x4
N1 0.000 0.000 0.500 x2

**Energy relative to the lowest polymorph listed for this composition**: 0.000 eV/atom
**Crystal system**: tetragonal

=====

10.
Ac6SN5 after structural relaxation, computed with PBE.

abc: 6.917 11.977 6.895
angles: 90.00 109.66 90.00
Space group C2/m (No. 12)
Inequivalent atoms, fractional coordinates:
Ac1 0.233 0.179 0.246 x8
Ac2 0.237 0.000 0.772 x4
S1 0.000 0.500 0.500 x2
N1 0.000 0.000 0.000 x2
N2 0.000 0.171 0.500 x4
N3 0.000 0.334 0.000 x4

**Crystal system**: monoclinic

=====

11.
Ac2SN2 after structural relaxation, computed with PBE.

abc: 14.313 4.360 6.918
angles: 90.00 101.26 90.00
Space group C2/c (No. 15)
Inequivalent atoms, fractional coordinates:
Ac1 0.142 0.215 0.145 x8
S1 0.000 0.280 0.750 x4
N1 0.221 0.365 0.529 x8

**Crystal system**: monoclinic

=====

12.
Ac6S5N2 after structural relaxation, computed with PBE.

abc: 11.579 14.345 4.109
angles: 90.00 90.00 90.00
Space group Pbam (No. 55)
Inequivalent atoms, fractional coordinates:
Ac1 0.001 0.127 0.000 x4
Ac2 0.170 0.678 0.500 x4
Ac3 0.171 0.397 0.000 x4
S1 0.000 0.500 0.500 x2
S2 0.085 0.259 0.500 x4
S3 0.160 0.998 0.500 x4
N1 0.168 0.777 0.000 x4

**Crystal system**: orthorhombic

=====

13.
Ac5S5N after structural relaxation, computed with PBE.

abc: 13.504 5.982 8.415
angles: 90.00 108.44 90.00
Space group C2/m (No. 12)
Inequivalent atoms, fractional coordinates:
Ac1 0.000 0.000 0.000 x2
Ac2 0.148 0.500 0.839 x4
Ac3 0.158 0.500 0.320 x4
S1 0.000 0.500 0.500 x2
S2 0.170 0.000 0.842 x4
S3 0.177 0.000 0.328 x4
N1 0.000 0.500 0.000 x2

**Crystal system**: monoclinic

=====

14.
Ac2S3N2 after structural relaxation, computed with PBE.

abc: 15.680 4.340 8.592
angles: 90.00 111.05 90.00
Space group C2/m (No. 12)
Inequivalent atoms, fractional coordinates:
Ac1 0.126 0.000 0.446 x4
S1 0.000 0.500 0.500 x2
S2 0.195 0.500 0.303 x4
N1 0.015 0.000 0.069 x4

**Crystal system**: monoclinic

=====

15.
Ac3SbSN after structural relaxation, computed with PBE.

abc: 9.213 4.436 9.918
angles: 90.00 102.70 90.00
Space group P2_1/m (No. 11)
Inequivalent atoms, fractional coordinates:
Ac1 0.071 0.250 0.332 x2
Ac2 0.330 0.250 0.981 x2
Ac3 0.397 0.750 0.654 x2
Sb1 0.316 0.750 0.279 x2
S1 0.154 0.250 0.641 x2
N1 0.409 0.750 0.895 x2

**Crystal system**: monoclinic

=====

16.
Ac4SbS2N after structural relaxation, computed with PBE.

abc: 4.386 14.643 15.190
angles: 90.00 90.00 90.00
Space group Cmcm (No. 63)
Inequivalent atoms, fractional coordinates:
Ac1 0.000 0.000 0.000 x4
Ac2 0.000 0.265 0.125 x8
Ac3 0.000 0.425 0.750 x4
Sb1 0.000 0.106 0.750 x4
S1 0.000 0.368 0.556 x8
N1 0.000 0.164 0.250 x4

**Crystal system**: orthorhombic

=====

17.
Ac6SeS3N2 after structural relaxation, computed with PBE.

abc: 18.361 4.151 8.582
angles: 90.00 103.81 90.00
Space group C2/m (No. 12)
Inequivalent atoms, fractional coordinates:
Ac1 0.017 0.000 0.269 x4
Ac2 0.173 0.500 0.120 x4
Ac3 0.176 0.500 0.566 x4
Se1 0.000 0.500 0.000 x2
S1 0.000 0.500 0.500 x2
S2 0.160 0.000 0.833 x4
N1 0.171 0.000 0.332 x4

**Crystal system**: monoclinic

=====

18.
Ac6SeS2N3 after structural relaxation, computed with PBE.

abc: 18.304 4.058 8.438
angles: 90.00 106.66 90.00
Space group C2/m (No. 12)
Inequivalent atoms, fractional coordinates:
Ac1 0.009 0.000 0.224 x4
Ac2 0.160 0.500 0.102 x4
Ac3 0.177 0.500 0.565 x4
Se1 0.000 0.500 0.500 x2
S1 0.166 0.000 0.832 x4
N1 0.000 0.500 0.000 x2
N2 0.168 0.000 0.331 x4

**Crystal system**: monoclinic

=====

19.
Ac4Se2SN after structural relaxation, computed with PBE.

abc: 7.408 4.210 7.592
angles: 90.00 108.40 90.00
Space group P2/m (No. 10)
Inequivalent atoms, fractional coordinates:
Ac1 0.218 0.000 0.211 x2
Ac2 0.239 0.500 0.779 x2
Se1 0.000 0.000 0.500 x1
Se2 0.500 0.500 0.500 x1
S1 0.500 0.000 0.000 x1
N1 0.000 0.500 0.000 x1

**Crystal system**: monoclinic

=====

20.
Ac8Se4S3N after structural relaxation, computed with PBE.

abc: 8.6379 8.6379 21.5807
angles: 90.00 90.00 120.00
Space group R-3m (No. 166, hexagonal axes)
Inequivalent atoms, fractional coordinates:
Ac1 0.0000 0.0000 0.2447 x6
Ac2 0.0225 0.5112 0.2399 x18
Se1 0.0000 0.0000 0.0000 x3
Se2 0.0000 0.5000 0.0000 x9
S1 0.0000 0.5000 0.5000 x9
N1 0.0000 0.0000 0.5000 x3

**Crystal system**: trigonal

=====

no.,E_form (uncorrected) (eV per atom),theoretical density (g cm⁻³)
1,-0.788,10.18
2,-1.074,10.56
3,-0.465,7.87
4,-0.334,8.96
5,-0.980,7.55
6,-0.460,8.81
7,-1.026,8.42
8,-1.543,6.75
9,-1.650,8.04
10,-1.220,9.04
11,-1.433,8.06
12,-1.826,7.54
13,-1.846,6.74
14,-1.360,3.52
15,-1.406,7.13
16,-1.554,7.54
17,-1.653,8.18
18,-1.533,8.56
19,-1.688,8.22
20,-1.812,8.01